# LiMnFe2, PBEsol geometry, DFT meta-GGA SCAN
# Energy relative to the lowest polymorph listed for this composition: 0.000 eV per atom
# DOS(E_F): 2.8 states/eV/cell
# Formation energy: 0.228 eV/atom
# Raw total energy: -13.998 eV per atom
data_LiMnFe2
_space_group_name_H-M_alt 'P m m m'
_space_group_IT_number 47
_cell_length_a 2.4448
_cell_length_b 3.5499
_cell_length_c 4.8951
_cell_angle_alpha 90.00
_cell_angle_beta 90.00
_cell_angle_gamma 90.00
loop_
_space_group_symop_operation_xyz
'x,y,z'
'-x,-y,-z'
'-x,-y,z'
'x,y,-z'
'x,-y,-z'
'-x,y,z'
'-x,y,-z'
'x,-y,z'
loop_
_atom_site_label
_atom_site_type_symbol
_atom_site_fract_x
_atom_site_fract_y
_atom_site_fract_z
_atom_site_occupancy
Li1 Li 0.0000 0.0000 0.0000 1
Mn1 Mn 0.0000 0.0000 0.5000 1
Fe1 Fe 0.5000 0.5000 0.2488 1

=====

# ZrAl2InFe, PBEsol geometry, DFT meta-GGA SCAN
# DOS(E_F): 3.5 states/eV/cell
# Formation energy: 0.990 eV/atom
# Raw total energy: -18.553 eV per atom
data_ZrAl2InFe
_space_group_name_H-M_alt 'P 4/m m m'
_space_group_IT_number 123
_space_group_name_Hall '-P 4 2'
_cell_length_a 4.8494
_cell_length_b 4.8494
_cell_length_c 4.6690
_cell_angle_alpha 90.00
_cell_angle_beta 90.00
_cell_angle_gamma 90.00
loop_
_atom_site_label
_atom_site_type_symbol
_atom_site_fract_x
_atom_site_fract_y
_atom_site_fract_z
_atom_site_occupancy
Zr1 Zr 0.0000 0.0000 0.0000 1
Al1 Al 0.0000 0.5000 0.5000 1
In1 In 0.5000 0.5000 0.5000 1
Fe1 Fe 0.5000 0.5000 0.0000 1

=====

# MnTeOs, PBEsol geometry, DFT meta-GGA SCAN
# Uncorrected formation energy: 1.73 eV per formula unit
# Energy relative to the lowest polymorph listed for this composition: 0.062 eV per atom
# DOS(E_F): 15.6 states/eV/cell
# Raw total energy: -41.885 eV per atom
data_MnTeOs
_space_group_name_H-M_alt 'F -4 3 m'
_space_group_IT_number 216
_space_group_name_Hall 'F -4 2 3'
_cell_length_a 5.8217
_cell_length_b 5.8217
_cell_length_c 5.8217
_cell_angle_alpha 90.00
_cell_angle_beta 90.00
_cell_angle_gamma 90.00
loop_
_atom_site_label
_atom_site_type_symbol
_atom_site_fract_x
_atom_site_fract_y
_atom_site_fract_z
_atom_site_occupancy
Mn1 Mn 0.0000 0.0000 0.0000 1
Te1 Te 0.2500 0.2500 0.2500 1
Os1 Os 0.2500 0.2500 0.7500 1

=====

# Tc2IrOs, PBEsol geometry, DFT meta-GGA SCAN
# Energy relative to the lowest polymorph listed for this composition: 0.000 eV per atom
# DOS(E_F): 2.4 states/eV/cell
# Formation energy: -0.267 eV/atom
# Raw total energy: -53.542 eV per atom
data_Tc2IrOs
_space_group_name_H-M_alt 'P m m 2'
_space_group_IT_number 25
_cell_length_a 2.7223
_cell_length_b 4.3150
_cell_length_c 4.7313
_cell_angle_alpha 90.00
_cell_angle_beta 90.00
_cell_angle_gamma 90.00
loop_
_space_group_symop_operation_xyz
'x,y,z'
'-x,-y,z'
'-x,y,z'
'x,-y,z'
loop_
_atom_site_label
_atom_site_type_symbol
_atom_site_fract_x
_atom_site_fract_y
_atom_site_fract_z
_atom_site_occupancy
Tc1 Tc 0.0000 0.0000 0.0000 1
Tc2 Tc 0.0000 0.5000 0.3293 1
Ir1 Ir 0.5000 0.5000 0.8368 1
Os1 Os 0.5000 0.0000 0.4956 1

=====

# BeAu3, PBEsol geometry, DFT meta-GGA SCAN
# DOS(E_F): 3.9 states/eV/cell
# Formation energy: -0.133 eV/atom
# Raw total energy: -53.089 eV per atom
data_BeAu3
_space_group_name_H-M_alt 'R -3 m'
_space_group_IT_number 166
_space_group_name_Hall '-R 3 2"'
_cell_length_a 2.8726
_cell_length_b 2.8726
_cell_length_c 25.3545
_cell_angle_alpha 90.00
_cell_angle_beta 90.00
_cell_angle_gamma 120.00
loop_
_atom_site_label
_atom_site_type_symbol
_atom_site_fract_x
_atom_site_fract_y
_atom_site_fract_z
_atom_site_occupancy
Be1 Be 0.0000 0.0000 0.0000 1
Au1 Au 0.0000 0.0000 0.2638 1
Au2 Au 0.0000 0.0000 0.5000 1

=====

# ScCdAu2, PBEsol geometry, DFT meta-GGA SCAN
# DOS(E_F): 3.0 states/eV/cell
# Formation energy: -0.634 eV/atom
# Raw total energy: -46.375 eV per atom
data_ScCdAu2
_space_group_name_H-M_alt 'I -4 m 2'
_space_group_IT_number 119
_space_group_name_Hall 'I -4 -2'
_cell_length_a 4.2403
_cell_length_b 4.2403
_cell_length_c 8.0491
_cell_angle_alpha 90.00
_cell_angle_beta 90.00
_cell_angle_gamma 90.00
loop_
_atom_site_label
_atom_site_type_symbol
_atom_site_fract_x
_atom_site_fract_y
_atom_site_fract_z
_atom_site_occupancy
Sc1 Sc 0.0000 0.0000 0.0000 1
Cd1 Cd 0.0000 0.5000 0.2500 1
Au1 Au 0.0000 0.0000 0.5000 1
Au2 Au 0.0000 0.5000 0.7500 1

=====

# BeNiOs2, PBEsol geometry, DFT meta-GGA SCAN
# DOS(E_F): 11.0 states/eV/cell
# Formation energy: 0.140 eV/atom
# Raw total energy: -40.932 eV per atom
data_BeNiOs2
_space_group_name_H-M_alt 'F -4 3 m'
_space_group_IT_number 216
_space_group_name_Hall 'F -4 2 3'
_cell_length_a 5.7956
_cell_length_b 5.7956
_cell_length_c 5.7956
_cell_angle_alpha 90.00
_cell_angle_beta 90.00
_cell_angle_gamma 90.00
loop_
_atom_site_label
_atom_site_type_symbol
_atom_site_fract_x
_atom_site_fract_y
_atom_site_fract_z
_atom_site_occupancy
Be1 Be 0.0000 0.0000 0.0000 1
Ni1 Ni 0.2500 0.2500 0.7500 1
Os1 Os 0.0000 0.0000 0.5000 1
Os2 Os 0.2500 0.2500 0.2500 1

=====

# ZnAgAu2, PBEsol geometry, DFT meta-GGA SCAN
# DOS(E_F): 3.0 states/eV/cell
# Formation energy: -0.106 eV/atom
# Raw total energy: -45.905 eV per atom
data_ZnAgAu2
_space_group_name_H-M_alt 'F -4 3 m'
_space_group_IT_number 216
_space_group_name_Hall 'F -4 2 3'
_cell_length_a 6.3688
_cell_length_b 6.3688
_cell_length_c 6.3688
_cell_angle_alpha 90.00
_cell_angle_beta 90.00
_cell_angle_gamma 90.00
loop_
_atom_site_label
_atom_site_type_symbol
_atom_site_fract_x
_atom_site_fract_y
_atom_site_fract_z
_atom_site_occupancy
Zn1 Zn 0.0000 0.0000 0.0000 1
Ag1 Ag 0.2500 0.2500 0.7500 1
Au1 Au 0.0000 0.0000 0.5000 1
Au2 Au 0.2500 0.2500 0.2500 1

=====

# K3MnRe, PBEsol geometry, DFT meta-GGA SCAN
# DOS(E_F): 8.1 states/eV/cell
# Formation energy: 1.749 eV/atom
# Raw total energy: -21.119 eV per atom
data_K3MnRe
_space_group_name_H-M_alt 'P m -3 m'
_space_group_IT_number 221
_space_group_name_Hall '-P 4 2 3'
_cell_length_a 6.2242
_cell_length_b 6.2242
_cell_length_c 6.2242
_cell_angle_alpha 90.00
_cell_angle_beta 90.00
_cell_angle_gamma 90.00
loop_
_atom_site_label
_atom_site_type_symbol
_atom_site_fract_x
_atom_site_fract_y
_atom_site_fract_z
_atom_site_occupancy
K1 K 0.0000 0.0000 0.5000 1
Mn1 Mn 0.5000 0.5000 0.5000 1
Re1 Re 0.0000 0.0000 0.0000 1

=====

# AgAsN2O, PBEsol geometry, DFT meta-GGA SCAN
# Uncorrected formation energy: 4.44 eV per formula unit
# DOS(E_F): 1.1 states/eV/cell
# Raw total energy: -14.385 eV per atom
data_AgAsN2O
_space_group_name_H-M_alt 'P 4/m m m'
_space_group_IT_number 123
_space_group_name_Hall '-P 4 2'
_cell_length_a 3.8110
_cell_length_b 3.8110
_cell_length_c 3.7105
_cell_angle_alpha 90.00
_cell_angle_beta 90.00
_cell_angle_gamma 90.00
loop_
_atom_site_label
_atom_site_type_symbol
_atom_site_fract_x
_atom_site_fract_y
_atom_site_fract_z
_atom_site_occupancy
Ag1 Ag 0.0000 0.0000 0.0000 1
As1 As 0.5000 0.5000 0.5000 1
N1 N 0.0000 0.5000 0.5000 1
O1 O 0.5000 0.5000 0.0000 1

=====

# LaPbCl2, PBEsol geometry, DFT meta-GGA SCAN
# Uncorrected formation energy: -5.34 eV per formula unit
# Energy relative to the lowest polymorph listed for this composition: 0.233 eV per atom
# DOS(E_F): 3.2 states/eV/cell
# Raw total energy: -35.045 eV per atom
data_LaPbCl2
_space_group_name_H-M_alt 'I -4 m 2'
_space_group_IT_number 119
_space_group_name_Hall 'I -4 -2'
_cell_length_a 4.1944
_cell_length_b 4.1944
_cell_length_c 11.3554
_cell_angle_alpha 90.00
_cell_angle_beta 90.00
_cell_angle_gamma 90.00
loop_
_atom_site_label
_atom_site_type_symbol
_atom_site_fract_x
_atom_site_fract_y
_atom_site_fract_z
_atom_site_occupancy
La1 La 0.0000 0.0000 0.0000 1
Pb1 Pb 0.0000 0.5000 0.2500 1
Cl1 Cl 0.0000 0.0000 0.5000 1
Cl2 Cl 0.0000 0.5000 0.7500 1

=====

# TlTcW2, PBEsol geometry, DFT meta-GGA SCAN
# Energy relative to the lowest polymorph listed for this composition: 0.000 eV per atom
# DOS(E_F): 6.2 states/eV/cell
# Formation energy: 0.651 eV/atom
# Raw total energy: -61.048 eV per atom
data_TlTcW2
_space_group_name_H-M_alt 'I m m m'
_space_group_IT_number 71
_space_group_name_Hall '-I 2 2'
_cell_length_a 3.2106
_cell_length_b 4.4281
_cell_length_c 9.2243
_cell_angle_alpha 90.00
_cell_angle_beta 90.00
_cell_angle_gamma 90.00
loop_
_atom_site_label
_atom_site_type_symbol
_atom_site_fract_x
_atom_site_fract_y
_atom_site_fract_z
_atom_site_occupancy
Tl1 Tl 0.0000 0.0000 0.0000 1
Tc1 Tc 0.0000 0.0000 0.5000 1
W1 W 0.0000 0.5000 0.2382 1